No. 1
# CaMn2VN4

Crystalline CaMn2VN4 at its relaxed geometry (PBE, Alexandria).

Geometry as CIF:
```
data_CaMn2VN4
_symmetry_space_group_name_H-M 'P 1'
_symmetry_Int_Tables_number 1
_cell_length_a 3.127
_cell_length_b 5.626
_cell_length_c 10.353
_cell_angle_alpha 90.00
_cell_angle_beta 90.00
_cell_angle_gamma 106.14
loop_
_symmetry_equiv_pos_as_xyz
'x,y,z'
loop_
_atom_site_label
_atom_site_fract_x
_atom_site_fract_y
_atom_site_fract_z
_atom_site_occupancy
Ca1 0.102 0.204 0.750 1
Ca2 0.898 0.796 0.250 1
Mn1 0.374 0.748 0.539 1
Mn2 0.626 0.252 0.039 1
Mn3 0.626 0.252 0.461 1
Mn4 0.374 0.748 0.961 1
V1 0.836 0.671 0.750 1
V2 0.164 0.329 0.250 1
N1 0.263 0.527 0.112 1
N2 0.737 0.473 0.612 1
N3 0.737 0.473 0.888 1
N4 0.263 0.527 0.388 1
N5 0.000 0.000 0.500 1
N6 0.000 0.000 0.000 1
N7 0.433 0.866 0.750 1
N8 0.567 0.134 0.250 1
```

Properties
uncorrected energy: -8.374 eV/atom
N(E_F): 4.39 states/eV/f.u.



No. 2
# Ca2MnVN4

Crystalline Ca2MnVN4 at its relaxed geometry (PBE, Alexandria).

Geometry as CIF:
```
data_Ca2MnVN4
_symmetry_space_group_name_H-M 'P 1'
_symmetry_Int_Tables_number 1
_cell_length_a 5.540
_cell_length_b 5.733
_cell_length_c 6.785
_cell_angle_alpha 90.00
_cell_angle_beta 90.00
_cell_angle_gamma 90.00
loop_
_symmetry_equiv_pos_as_xyz
'x,y,z'
loop_
_atom_site_label
_atom_site_fract_x
_atom_site_fract_y
_atom_site_fract_z
_atom_site_occupancy
Ca1 0.501 0.237 0.249 1
Ca2 0.501 0.237 0.751 1
Ca3 0.001 0.763 0.749 1
Ca4 0.001 0.763 0.251 1
Mn1 0.000 0.217 0.500 1
Mn2 0.500 0.783 0.000 1
V1 0.500 0.798 0.500 1
V2 0.000 0.202 0.000 1
N1 0.251 0.998 0.000 1
N2 0.751 0.002 0.500 1
N3 0.250 0.004 0.500 1
N4 0.750 0.996 0.000 1
N5 0.498 0.652 0.745 1
N6 0.998 0.348 0.245 1
N7 0.998 0.348 0.755 1
N8 0.498 0.652 0.255 1
```

Properties
uncorrected energy: -7.807 eV/atom
N(E_F): 3.30 states/eV/f.u.



No. 3
# Ca2MnWN4

Crystalline Ca2MnWN4 at its relaxed geometry (PBE, Alexandria).

Geometry as CIF:
```
data_Ca2MnWN4
_symmetry_space_group_name_H-M 'P 1'
_symmetry_Int_Tables_number 1
_cell_length_a 5.545
_cell_length_b 6.316
_cell_length_c 7.116
_cell_angle_alpha 90.00
_cell_angle_beta 90.00
_cell_angle_gamma 90.00
loop_
_symmetry_equiv_pos_as_xyz
'x,y,z'
loop_
_atom_site_label
_atom_site_fract_x
_atom_site_fract_y
_atom_site_fract_z
_atom_site_occupancy
Ca1 0.483 0.315 0.251 1
Ca2 0.483 0.315 0.749 1
Ca3 0.983 0.685 0.751 1
Ca4 0.983 0.685 0.249 1
Mn1 0.992 0.172 0.500 1
Mn2 0.492 0.828 0.000 1
W1 0.500 0.838 0.500 1
W2 0.000 0.162 0.000 1
N1 0.334 0.123 0.000 1
N2 0.834 0.877 0.500 1
N3 0.354 0.106 0.500 1
N4 0.854 0.894 0.000 1
N5 0.426 0.690 0.728 1
N6 0.926 0.310 0.228 1
N7 0.926 0.310 0.772 1
N8 0.426 0.690 0.272 1
```

Properties
uncorrected energy: -8.214 eV/atom



No. 4
# CaY2MnN4

Crystalline CaY2MnN4 at its relaxed geometry (PBE, Alexandria).

Geometry as CIF:
```
data_CaY2MnN4
_symmetry_space_group_name_H-M 'P 1'
_symmetry_Int_Tables_number 1
_cell_length_a 3.422
_cell_length_b 6.055
_cell_length_c 11.704
_cell_angle_alpha 90.00
_cell_angle_beta 90.00
_cell_angle_gamma 106.42
loop_
_symmetry_equiv_pos_as_xyz
'x,y,z'
loop_
_atom_site_label
_atom_site_fract_x
_atom_site_fract_y
_atom_site_fract_z
_atom_site_occupancy
Ca1 0.106 0.212 0.750 1
Ca2 0.894 0.788 0.250 1
Y1 0.370 0.740 0.543 1
Y2 0.630 0.260 0.043 1
Y3 0.630 0.260 0.457 1
Y4 0.370 0.740 0.957 1
Mn1 0.829 0.659 0.750 1
Mn2 0.171 0.341 0.250 1
N1 0.262 0.524 0.126 1
N2 0.738 0.476 0.626 1
N3 0.738 0.476 0.874 1
N4 0.262 0.524 0.374 1
N5 0.000 0.000 0.500 1
N6 0.000 0.000 0.000 1
N7 0.405 0.811 0.750 1
N8 0.595 0.189 0.250 1
```

Properties
uncorrected energy: -8.260 eV/atom
N(E_F): 1.79 states/eV/f.u.



No. 5
# Na2CaMn2

Crystalline Na2CaMn2 at its relaxed geometry (PBE, Alexandria).

Geometry as CIF:
```
data_Na2CaMn2
_symmetry_space_group_name_H-M 'P 1'
_symmetry_Int_Tables_number 1
_cell_length_a 4.285
_cell_length_b 4.285
_cell_length_c 7.964
_cell_angle_alpha 74.39
_cell_angle_beta 74.39
_cell_angle_gamma 90.00
loop_
_symmetry_equiv_pos_as_xyz
'x,y,z'
loop_
_atom_site_label
_atom_site_fract_x
_atom_site_fract_y
_atom_site_fract_z
_atom_site_occupancy
Na1 0.750 0.250 0.500 1
Na2 0.250 0.750 0.500 1
Ca1 0.000 0.000 0.000 1
Mn1 0.414 0.414 0.172 1
Mn2 0.586 0.586 0.828 1
```

Properties
energy relative to the lowest polymorph listed for this composition: 0 meV per atom
N(E_F): 4.55 states/eV/f.u.
formation energy from the elements: 0.64 eV/atom



No. 6
# NaCaMn3

Crystalline NaCaMn3 at its relaxed geometry (PBE, Alexandria).

Geometry as CIF:
```
data_NaCaMn3
_symmetry_space_group_name_H-M 'P 1'
_symmetry_Int_Tables_number 1
_cell_length_a 5.012
_cell_length_b 5.012
_cell_length_c 5.012
_cell_angle_alpha 90.00
_cell_angle_beta 90.00
_cell_angle_gamma 90.00
loop_
_symmetry_equiv_pos_as_xyz
'x,y,z'
loop_
_atom_site_label
_atom_site_fract_x
_atom_site_fract_y
_atom_site_fract_z
_atom_site_occupancy
Na1 0.000 0.000 0.000 1
Ca1 0.500 0.500 0.500 1
Mn1 0.000 0.500 0.000 1
Mn2 0.000 0.000 0.500 1
Mn3 0.500 0.000 0.000 1
```

Properties
energy relative to the lowest polymorph listed for this composition: 0 meV per atom
N(E_F): 9.47 states/eV/f.u.
formation energy from the elements: 1.31 eV/atom



No. 7
# NaCaMn2

Crystalline NaCaMn2 at its relaxed geometry (PBE, Alexandria).

Geometry as CIF:
```
data_NaCaMn2
_symmetry_space_group_name_H-M 'P 1'
_symmetry_Int_Tables_number 1
_cell_length_a 8.146
_cell_length_b 8.146
_cell_length_c 6.450
_cell_angle_alpha 50.84
_cell_angle_beta 50.84
_cell_angle_gamma 90.00
loop_
_symmetry_equiv_pos_as_xyz
'x,y,z'
loop_
_atom_site_label
_atom_site_fract_x
_atom_site_fract_y
_atom_site_fract_z
_atom_site_occupancy
Na1 0.500 0.500 0.000 1
Na2 0.250 0.750 0.500 1
Ca1 0.000 0.000 0.000 1
Ca2 0.750 0.250 0.500 1
Mn1 0.612 0.125 0.250 1
Mn2 0.138 0.625 0.250 1
Mn3 0.375 0.388 0.750 1
Mn4 0.875 0.862 0.750 1
```

Properties
energy relative to the lowest polymorph listed for this composition: 128 meV per atom
N(E_F): 5.26 states/eV/f.u.
formation energy from the elements: 0.89 eV/atom



No. 8
# Na2CaMn2

Crystalline Na2CaMn2 at its relaxed geometry (PBE, Alexandria).

Geometry as CIF:
```
data_Na2CaMn2
_symmetry_space_group_name_H-M 'P 1'
_symmetry_Int_Tables_number 1
_cell_length_a 8.531
_cell_length_b 8.531
_cell_length_c 3.200
_cell_angle_alpha 90.00
_cell_angle_beta 90.00
_cell_angle_gamma 90.00
loop_
_symmetry_equiv_pos_as_xyz
'x,y,z'
loop_
_atom_site_label
_atom_site_fract_x
_atom_site_fract_y
_atom_site_fract_z
_atom_site_occupancy
Na1 0.199 0.699 0.500 1
Na2 0.699 0.801 0.500 1
Na3 0.801 0.301 0.500 1
Na4 0.301 0.199 0.500 1
Ca1 0.000 0.000 0.000 1
Ca2 0.500 0.500 0.000 1
Mn1 0.419 0.919 0.000 1
Mn2 0.919 0.581 0.000 1
Mn3 0.581 0.081 0.000 1
Mn4 0.081 0.419 0.000 1
```

Properties
energy relative to the lowest polymorph listed for this composition: 252 meV per atom
N(E_F): 3.74 states/eV/f.u.
formation energy from the elements: 0.89 eV/atom



No. 9
# NaCaMn2

Crystalline NaCaMn2 at its relaxed geometry (PBE, Alexandria).

Geometry as CIF:
```
data_NaCaMn2
_symmetry_space_group_name_H-M 'P 1'
_symmetry_Int_Tables_number 1
_cell_length_a 5.158
_cell_length_b 5.158
_cell_length_c 5.158
_cell_angle_alpha 60.00
_cell_angle_beta 60.00
_cell_angle_gamma 60.00
loop_
_symmetry_equiv_pos_as_xyz
'x,y,z'
loop_
_atom_site_label
_atom_site_fract_x
_atom_site_fract_y
_atom_site_fract_z
_atom_site_occupancy
Na1 0.000 0.000 0.000 1
Ca1 0.500 0.500 0.500 1
Mn1 0.250 0.250 0.250 1
Mn2 0.750 0.750 0.750 1
```

Properties
energy relative to the lowest polymorph listed for this composition: 0 meV per atom
N(E_F): 3.87 states/eV/f.u.
formation energy from the elements: 0.76 eV/atom



No. 10
# NaCa3Mn

Crystalline NaCa3Mn at its relaxed geometry (PBE, Alexandria).

Geometry as CIF:
```
data_NaCa3Mn
_symmetry_space_group_name_H-M 'P 1'
_symmetry_Int_Tables_number 1
_cell_length_a 5.690
_cell_length_b 5.690
_cell_length_c 5.690
_cell_angle_alpha 90.00
_cell_angle_beta 90.00
_cell_angle_gamma 90.00
loop_
_symmetry_equiv_pos_as_xyz
'x,y,z'
loop_
_atom_site_label
_atom_site_fract_x
_atom_site_fract_y
_atom_site_fract_z
_atom_site_occupancy
Na1 0.500 0.500 0.500 1
Ca1 0.000 0.500 0.000 1
Ca2 0.000 0.000 0.500 1
Ca3 0.500 0.000 0.000 1
Mn1 0.000 0.000 0.000 1
```

Properties
energy relative to the lowest polymorph listed for this composition: 0 meV per atom
N(E_F): 6.68 states/eV/f.u.
formation energy from the elements: 0.39 eV/atom



No. 11
# NaCa3Mn

Crystalline NaCa3Mn at its relaxed geometry (PBE, Alexandria).

Geometry as CIF:
```
data_NaCa3Mn
_symmetry_space_group_name_H-M 'P 1'
_symmetry_Int_Tables_number 1
_cell_length_a 5.894
_cell_length_b 5.894
_cell_length_c 5.894
_cell_angle_alpha 90.00
_cell_angle_beta 90.00
_cell_angle_gamma 90.00
loop_
_symmetry_equiv_pos_as_xyz
'x,y,z'
loop_
_atom_site_label
_atom_site_fract_x
_atom_site_fract_y
_atom_site_fract_z
_atom_site_occupancy
Na1 0.000 0.000 0.000 1
Ca1 0.000 0.500 0.000 1
Ca2 0.000 0.000 0.500 1
Ca3 0.500 0.000 0.000 1
Mn1 0.500 0.500 0.500 1
```

Properties
energy relative to the lowest polymorph listed for this composition: 474 meV per atom
N(E_F): 7.59 states/eV/f.u.
formation energy from the elements: 0.87 eV/atom